## ZnCoCu2 (PBE)

Data for a geometry-optimized ZnCoCu2 structure.

Computed properties:
E_form (meV/atom): 38
Calculated volume (A^3/atom): 12.1
Magnetization (μB per atom): 0.310
E (eV per atom): -4.105
SG: R-3m
D(E_F) (states/eV per atom): 0.506

Cell: 8.686 8.686 8.686 Å, 16.95 16.95 16.95°
Positions (direct):
Co1 0.750 0.750 0.750
Cu1 0.003 0.003 0.003
Cu2 0.497 0.497 0.497
Zn1 0.250 0.250 0.250